Computed, not measured: Gd2MgI after structural relaxation at the PBE level of DFT.

POSCAR file:
```
Gd2MgI
1.0
3.641 0.000 0.000
1.821 3.154 0.000
1.821 1.051 11.580
I Mg Gd
1 1 2
Cartesian
3.641 2.102 5.790
0.000 0.000 0.000
1.821 1.051 8.289
5.462 3.154 3.291
```

Calculated total energy: -7.894 eV per atom
Density of states at the Fermi level: 7.5 states/eV per cell
Formation energy (no corrections): -0.27 eV/f.u.
Offset from the most stable computed form: 0.283 eV/atom
Total magnetic moment: 15.41 μB per cell